No. 1
Compound: ThZnInNi
Source: Alexandria via LeMat-Bulk
Functional: PBE
Structure: relaxed

- total moment (μB per formula unit) = 0.0
- D(E_F) (states/eV/cell) = 8.2
- energy of formation from the pure elements (eV per atom) = -0.300

Cell lengths 6.8607, 6.8607, 6.8607 Å; angles 90.00, 90.00, 90.00 degrees
Space group F-43m (No. 216)
Symmetry-distinct sites (fractional):
Th1 0.0000 0.0000 0.0000
Zn1 0.2500 0.2500 0.7500
In1 0.0000 0.0000 0.5000
Ni1 0.2500 0.2500 0.2500

---

No. 2
Compound: Th2Zn2InNi5
Source: Alexandria via LeMat-Bulk
Functional: PBE
Structure: relaxed

- total moment (μB per formula unit) = 0.0
- D(E_F) (states/eV/cell) = 14.7
- energy of formation from the pure elements (eV per atom) = -0.222

Cell lengths 9.7217, 9.7217, 3.5678 Å; angles 90.00, 90.00, 90.00 degrees
Space group P4/mbm (No. 127)
Symmetry-distinct sites (fractional):
Th1 0.1810 0.3190 0.0000
Zn1 0.1147 0.6147 0.0000
In1 0.0000 0.0000 0.0000
Ni1 0.0000 0.5000 0.5000
Ni2 0.0581 0.7843 0.5000